1.
# Tb2Al2Ge3

Tb2Al2Ge3 after structural relaxation (GGA-PBE, Alexandria via LeMat-Bulk).

Cell and atoms, written as POSCAR:
```
Tb2Al2Ge3
1.0
7.606 -2.094 0.000
7.606 2.094 0.000
-7.031 0.000 9.458
Tb Al Ge
4 4 6
Cartesian
-1.646 0.000 4.184
-2.350 0.000 7.919
10.531 0.000 1.539
9.827 0.000 5.274
0.310 0.000 1.557
5.498 0.000 1.793
2.684 0.000 7.665
7.872 0.000 7.901
-5.036 0.000 9.107
0.316 0.000 6.423
3.555 0.000 3.560
4.626 0.000 5.898
7.865 0.000 3.036
13.217 0.000 0.351
```

**Magnetic moment**: 0.00 μB per cell

2.
# Tb2Al2Ge3

Tb2Al2Ge3 after structural relaxation (GGA-PBE, Alexandria via LeMat-Bulk).

Cell and atoms, written as POSCAR:
```
Tb2Al2Ge3
1.0
5.292 -2.186 0.000
5.292 2.186 0.000
-3.446 0.000 6.837
Tb Al Ge
2 2 3
Cartesian
-0.259 0.000 1.947
7.398 0.000 4.889
2.822 0.000 0.895
4.316 0.000 5.942
-0.164 0.000 4.874
5.292 0.000 0.000
7.303 0.000 1.963
```

**Magnetic moment**: 0.00 μB per cell

Result of the stability comparison: 2 is the least stable of them.

1.
# Tb2AlGe3

Tb2AlGe3 after structural relaxation (GGA-PBE, Alexandria via LeMat-Bulk).

Cell and atoms, written as POSCAR:
```
Tb2AlGe3
1.0
-2.216 3.002 5.188
2.216 -3.002 5.188
2.216 3.002 -5.188
Tb Al Ge
2 1 3
Cartesian
0.000 0.000 1.964
0.000 0.000 8.411
0.000 0.000 5.188
2.216 0.000 0.000
2.216 0.000 3.820
0.000 3.002 1.367
```

**Magnetic moment**: 0.00 μB per cell

2.
# Tb2AlGe3

Tb2AlGe3 after structural relaxation (GGA-PBE, Alexandria via LeMat-Bulk).

Cell and atoms, written as POSCAR:
```
Tb2AlGe3
1.0
6.863 0.000 0.000
0.000 4.204 0.000
0.000 0.000 17.750
Tb Al Ge
8 4 12
Cartesian
1.108 1.051 3.626
1.144 1.051 7.366
2.287 3.153 16.241
2.324 3.153 12.501
4.539 1.051 5.249
4.575 1.051 1.509
5.719 3.153 10.384
5.755 3.153 14.123
0.322 3.153 1.158
3.110 1.051 10.033
3.753 3.153 7.717
6.541 1.051 16.592
0.300 1.051 11.924
1.034 1.051 14.404
1.704 1.051 0.623
1.727 3.153 9.498
2.397 3.153 5.529
3.132 3.153 3.049
3.731 1.051 14.700
4.465 1.051 12.221
5.135 1.051 8.252
5.159 3.153 17.127
5.829 3.153 3.346
6.563 3.153 5.826
```

**Magnetic moment**: 0.00 μB per cell

Result of the stability comparison: 1 is the least stable of them.

1.
# Al3TcGe

Al3TcGe after structural relaxation (GGA-PBE, Alexandria via LeMat-Bulk).

Cell and atoms, written as POSCAR:
```
Al3TcGe
1.0
4.746 0.000 0.000
0.000 4.746 0.000
0.000 0.000 4.746
Al Tc Ge
3 1 1
Cartesian
0.000 0.000 2.373
0.000 2.373 0.000
2.373 0.000 0.000
0.000 0.000 0.000
2.373 2.373 2.373
```

**Magnetic moment**: 0.00 μB per cell

2.
# Al3TcGe

Al3TcGe after structural relaxation (GGA-PBE, Alexandria via LeMat-Bulk).

Cell and atoms, written as POSCAR:
```
Al3TcGe
1.0
4.748 0.000 0.000
0.000 4.748 0.000
0.000 0.000 4.748
Al Tc Ge
3 1 1
Cartesian
0.000 0.000 2.374
0.000 2.374 0.000
2.374 0.000 0.000
2.374 2.374 2.374
0.000 0.000 0.000
```

**Magnetic moment**: 3.09 μB per cell

Result of the stability comparison: 2 is the least stable of them.

1.
# AlGeTe2

AlGeTe2 after structural relaxation (GGA-PBE, Alexandria via LeMat-Bulk).

Cell and atoms, written as POSCAR:
```
AlGeTe2
1.0
1.591 0.919 11.437
-1.591 0.919 11.437
0.000 -1.837 11.437
Al Ge Te
1 1 2
Cartesian
0.000 0.000 0.000
0.000 0.000 17.156
0.000 0.000 2.837
0.000 0.000 31.475
```

**Magnetic moment**: 0.00 μB per cell

2.
# AlGeTe2

AlGeTe2 after structural relaxation (GGA-PBE, Alexandria via LeMat-Bulk).

Cell and atoms, written as POSCAR:
```
AlGeTe2
1.0
1.923 1.110 9.226
-1.923 1.110 9.226
0.000 -2.220 9.226
Al Ge Te
1 1 2
Cartesian
0.000 0.000 0.000
0.000 0.000 13.839
0.000 0.000 10.878
0.000 0.000 16.800
```

**Magnetic moment**: 0.00 μB per cell

3.
# AlGeTe2

AlGeTe2 after structural relaxation (GGA-PBE, Alexandria via LeMat-Bulk).

Cell and atoms, written as POSCAR:
```
AlGeTe2
1.0
-3.652 3.652 4.604
3.652 -3.652 4.604
3.652 3.652 -4.604
Al Ge Te
2 2 4
Cartesian
0.000 0.000 0.000
0.000 3.652 2.302
3.652 0.000 2.302
0.000 0.000 4.604
5.478 1.665 -1.151
1.665 1.826 1.151
-1.826 1.987 3.453
1.987 1.826 5.755
```

**Magnetic moment**: 0.00 μB per cell

Result of the stability comparison: 1 is the least stable of them.

1.
# Al2Ge2Te

Al2Ge2Te after structural relaxation (GGA-PBE, Alexandria via LeMat-Bulk).

Cell and atoms, written as POSCAR:
```
Al2Ge2Te
1.0
-1.916 1.916 7.057
1.916 -1.916 7.057
1.916 1.916 -7.057
Al Ge Te
2 2 1
Cartesian
0.000 0.000 1.470
0.000 0.000 12.644
1.916 0.000 3.528
0.000 1.916 3.528
0.000 0.000 7.057
```

**Magnetic moment**: 0.00 μB per cell

2.
# Al2Ge2Te

Al2Ge2Te after structural relaxation (GGA-PBE, Alexandria via LeMat-Bulk).

Cell and atoms, written as POSCAR:
```
Al2Ge2Te
1.0
-2.312 2.312 4.997
2.312 -2.312 4.997
2.312 2.312 -4.997
Al Ge Te
2 2 1
Cartesian
2.312 0.000 2.499
0.000 2.312 2.499
0.000 0.000 1.227
0.000 0.000 8.767
0.000 0.000 4.997
```

**Magnetic moment**: 0.00 μB per cell

3.
# Al2Ge2Te

Al2Ge2Te after structural relaxation (GGA-PBE, Alexandria via LeMat-Bulk).

Cell and atoms, written as POSCAR:
```
Al2Ge2Te
1.0
8.336 0.000 0.000
0.000 8.336 0.000
0.000 0.000 2.992
Al Ge Te
4 4 2
Cartesian
1.162 3.006 0.000
3.006 7.174 0.000
5.330 1.162 0.000
7.174 5.330 0.000
1.304 5.472 1.496
2.864 1.304 1.496
5.472 7.032 1.496
7.032 2.864 1.496
0.000 0.000 1.496
4.168 4.168 1.496
```

**Magnetic moment**: 0.00 μB per cell

Result of the stability comparison: 3 is the least stable of them.

1.
# Al2GeTe2

Al2GeTe2 after structural relaxation (GGA-PBE, Alexandria via LeMat-Bulk).

Cell and atoms, written as POSCAR:
```
Al2GeTe2
1.0
-1.941 1.941 8.074
1.941 -1.941 8.074
1.941 1.941 -8.074
Al Ge Te
2 1 2
Cartesian
1.941 0.000 4.037
0.000 1.941 4.037
0.000 0.000 0.000
0.000 0.000 6.386
0.000 0.000 9.762
```

**Magnetic moment**: 0.00 μB per cell

2.
# Al2GeTe2

Al2GeTe2 after structural relaxation (GGA-PBE, Alexandria via LeMat-Bulk).

Cell and atoms, written as POSCAR:
```
Al2GeTe2
1.0
8.289 0.000 0.000
0.000 8.289 0.000
0.000 0.000 3.877
Al Ge Te
4 2 4
Cartesian
0.930 3.214 0.000
3.214 7.359 0.000
5.075 0.930 0.000
7.359 5.075 0.000
0.000 0.000 1.938
4.145 4.145 1.938
1.853 5.997 1.938
2.292 1.853 1.938
5.997 6.437 1.938
6.437 2.292 1.938
```

**Magnetic moment**: 0.00 μB per cell

Result of the stability comparison: 1 is the least stable of them.